Entry 1:
SrV2HI | PBE-GGA | optimized geometry

## Properties
Its crystal system is tetragonal. The final energy comes out at -3.63 eV per atom. The total magnetization comes out at 8.50 μB/cell.

Unit cell a=5.1176 b=5.1176 c=6.7380 alpha=90.00 beta=90.00 gamma=90.00
Closest atoms and distances in Å follow each position.
Space group P4/mmm (No. 123)
Symmetry-distinct sites (fractional):
Sr: 0.0000 0.0000 0.0000 [1 per cell]  2 I 3.37, 4 H 3.62
V: 0.0000 0.5000 0.5000 [2 per cell]  2 I 2.56
H: 0.5000 0.5000 0.0000 [1 per cell]  4 Sr 3.62
I: 0.0000 0.0000 0.5000 [1 per cell]  4 V 2.56

---

Entry 2:
SrY2HI | PBE-GGA | optimized geometry

## Properties
The calculation puts the distance to the lowest polymorph of the same formula at 400 kJ/mol of formula units. Its crystal system is tetragonal. The final energy comes out at -3.29 eV per atom. The total magnetization comes out at 0.91 μB/cell.

Unit cell a=6.5408 b=6.5408 c=4.0745 alpha=90.00 beta=90.00 gamma=90.00
Closest atoms and distances in Å follow each position.
Space group P4/mmm (No. 123)
Symmetry-distinct sites (fractional):
Sr: 0.0000 0.0000 0.0000 [1 per cell]  2 H 2.04
Y: 0.0000 0.5000 0.0000 [2 per cell]  2 Sr 3.27
H: 0.0000 0.0000 0.5000 [1 per cell]  2 Sr 2.04
I: 0.5000 0.5000 0.5000 [1 per cell]  8 Y 3.85, 2 I 4.07

---

- Which formula does entry 2 have?
  SrY2HI